<1>
A relaxed Cd2Bi2As crystal, computed with PBE.

a = 8.2717 Å, b = 8.2717 Å, c = 4.1700 Å
α = 90.00°, β = 90.00°, γ = 90.00°
With the nearest neighbours (Å) after each atom.
Positions (direct):
Bi 0.3110 0.8110 0.0000  2 As 3.01, 6 Cd 3.02-3.37
As 0.0000 0.0000 0.0000  4 Bi 3.01
Cd 0.1238 0.6238 0.5000  1 Cd 2.90, 2 Bi 3.02
Cd 0.8762 0.3762 0.5000  1 Cd 2.90, 2 Bi 3.02
Cd 0.3762 0.1238 0.5000  1 Cd 2.90, 2 Bi 3.02
Bi 0.8110 0.6890 0.0000  2 As 3.01, 6 Cd 3.02-3.37
Cd 0.6238 0.8762 0.5000  1 Cd 2.90, 2 Bi 3.02
As 0.5000 0.5000 0.0000  4 Bi 3.01
Bi 0.6890 0.1890 0.0000  2 As 3.01, 6 Cd 3.02-3.37
Bi 0.1890 0.3110 0.0000  2 As 3.01, 6 Cd 3.02-3.37

Properties
density	8.354	g/cm3
N(E_F)	0.643	states/eV per atom
space group	P4/mbm, No. 127

***

<2>
A relaxed Cd2Bi2As crystal, computed with PBE.

a = 3.9981 Å, b = 3.9981 Å, c = 9.2121 Å
α = 77.47°, β = 77.47°, γ = 90.00°
With the nearest neighbours (Å) after each atom.
Positions (direct):
Bi 0.5893 0.5893 0.8214  1 Bi 3.13, 4 As 3.23, 4 Cd 3.46
Bi 0.4107 0.4107 0.1786  1 Bi 3.13, 4 As 3.23, 4 Cd 3.46
Cd 0.2500 0.7500 0.5000  4 Cd 2.83
As 0.0000 0.0000 0.0000  8 Bi 3.23
Cd 0.7500 0.2500 0.5000  4 Cd 2.83

Properties
density	8.504	g/cm3
N(E_F)	0.603	states/eV per atom
space group	I4/mmm, No. 139

***

Quick one: most stable of them? <2>